A geometry-optimized BaAu2I structure. Source: Alexandria via LeMat-Bulk, functional PBE.

```
4
Lattice="0.0000 3.9251 3.9251 3.9251 0.0000 3.9251 3.9251 3.9251 0.0000" Properties=species:S:1:pos:R:3 pbc="T T T"
I 0.0000 0.0000 0.0000
Au 1.9625 1.9625 1.9625
Au 5.8876 5.8876 5.8876
Ba 3.9251 3.9251 3.9251
```

Relative energy among the computed polymorphs: 0.0 meV per atom
Space-group type: Fm-3m, No. 225
Formation energy without anion corrections: -0.418 eV/atom

A geometry-optimized CsBa2NaAs structure. Source: Alexandria via LeMat-Bulk, functional PBE.

```
5
Lattice="-3.3476 5.4447 0.8778 -2.8952 -0.8610 -5.7007 -5.3062 -3.7892 3.2671" Properties=species:S:1:pos:R:3 pbc="T T T"
Cs -2.6531 -1.8946 1.6336
Na -5.7745 0.3973 -0.7779
As 0.0000 0.0000 0.0000
Ba -1.4476 -0.4305 -2.8504
Ba -1.6738 2.7223 0.4389
```

Calculated formation energy: -0.37 eV/atom
Relative energy among the computed polymorphs: 0.0 meV per atom
Space-group type: P4/mmm, No. 123

A geometry-optimized KCrGaSn2 structure. Source: Alexandria via LeMat-Bulk, functional PBE.

```
5
Lattice="5.7094 0.0000 0.0000 0.0000 5.3349 0.0000 0.0000 0.0000 5.7094" Properties=species:S:1:pos:R:3 pbc="T T T"
Cr 2.8547 2.6675 2.8547
K 0.0000 0.0000 0.0000
Sn 0.0000 0.0000 2.8547
Sn 2.8547 0.0000 0.0000
Ga 0.0000 2.6675 0.0000
```

Calculated formation energy: 1.97 eV/atom
Space-group type: P4/mmm, No. 123

A geometry-optimized LaNdPt2 structure. Source: Alexandria via LeMat-Bulk, functional PBE.

```
4
Lattice="-3.5729 0.5795 -1.5837 1.4190 -1.9338 -3.9091 0.1704 -5.2146 2.6415" Properties=species:S:1:pos:R:3 pbc="T T T"
La -2.4036 -4.6794 1.4423
Nd -0.8131 -2.9659 -1.5184
Pt 0.2448 -5.4755 0.1071
Pt -3.4571 -2.1569 -0.1880
```

Calculated formation energy: -1.18 eV/atom
Relative energy among the computed polymorphs: 0.0 meV per atom
Space-group type: Amm2, No. 38

A geometry-optimized Tm3PaPt12 structure. Source: Alexandria via LeMat-Bulk, functional PBE.

```
16
Lattice="4.1157 0.0000 0.0000 0.0000 4.1157 0.0000 0.0000 0.0000 16.4104" Properties=species:S:1:pos:R:3 pbc="T T T"
Tm 0.0000 0.0000 4.1804
Tm 0.0000 0.0000 8.2052
Tm 0.0000 0.0000 12.2299
Pa 0.0000 0.0000 0.0000
Pt 2.0578 2.0578 0.0000
Pt 2.0578 2.0578 4.1184
Pt 2.0578 2.0578 8.2052
Pt 2.0578 2.0578 12.2920
Pt 2.0578 0.0000 2.0468
Pt 2.0578 0.0000 6.1733
Pt 2.0578 0.0000 10.2371
Pt 2.0578 0.0000 14.3636
Pt 0.0000 2.0578 2.0468
Pt 0.0000 2.0578 6.1733
Pt 0.0000 2.0578 10.2371
Pt 0.0000 2.0578 14.3636
```

Calculated formation energy: -1.10 eV/atom
Space-group type: P4/mmm, No. 123

A geometry-optimized NiPd2Rh structure. Source: Alexandria via LeMat-Bulk, functional PBE.

```
4
Lattice="3.8226 0.0000 0.0000 0.0000 3.8466 0.0000 0.0000 0.0000 3.8466" Properties=species:S:1:pos:R:3 pbc="T T T"
Ni 1.9113 0.0000 0.0000
Rh 1.9113 1.9233 1.9233
Pd 0.0000 0.0000 1.9233
Pd 0.0000 1.9233 0.0000
```

Calculated formation energy: 0.09 eV/atom
Relative energy among the computed polymorphs: 15.5 meV per atom
Space-group type: P4/mmm, No. 123

A geometry-optimized In2GeOs structure. Source: Alexandria via LeMat-Bulk, functional PBE.

```
8
Lattice="-2.1017 -4.1905 -1.4067 3.7651 -1.0026 -2.6385 3.3119 -3.5833 6.0877" Properties=species:S:1:pos:R:3 pbc="T T T"
In 0.6051 -3.8869 2.3405
In 3.7228 -3.5309 2.4580
In 1.2526 -5.2455 -0.4156
In 0.8317 -2.5966 -2.0226
Ge 1.0456 -6.6120 4.0044
Ge 0.1647 -1.1618 0.6765
Os 2.0194 -4.4292 4.5646
Os -0.8091 -3.3446 0.1163
```

Calculated formation energy: 0.13 eV/atom
Space-group type: P2/m, No. 10

A geometry-optimized CoH3 structure. Source: Alexandria via LeMat-Bulk, functional PBE.

```
4
Lattice="2.6026 0.0000 0.0000 0.0000 2.6022 0.0000 0.0000 0.0000 2.6246" Properties=species:S:1:pos:R:3 pbc="T T T"
H 0.0000 1.3011 1.4843
H 1.3013 1.3011 0.2253
H 1.3013 0.0000 1.4825
Co 0.0000 0.0000 0.3075
```

Relative energy among the computed polymorphs: 0.0 meV per atom
Space-group type: P4mm, No. 99

A geometry-optimized BaHoMg4 structure. Source: Alexandria via LeMat-Bulk, functional PBE.

```
6
Lattice="-2.3104 -5.8095 0.6320 2.2442 -4.6769 -3.5466 3.5127 -4.5121 2.6058" Properties=species:S:1:pos:R:3 pbc="T T T"
Mg 0.3858 -7.1146 -1.5080
Mg 1.0257 -7.0314 1.5959
Mg 2.1579 -9.3909 -0.1933
Mg 3.3235 -6.4600 -0.5122
Ho 0.0000 0.0000 0.0000
Ba 0.8616 -3.7496 -0.0772
```

Calculated formation energy: -0.02 eV/atom
Space-group type: F-43m, No. 216

A geometry-optimized Ce2DyW2C4 structure. Source: Alexandria via LeMat-Bulk, functional PBE.

```
9
Lattice="3.4632 0.0000 0.0000 -1.7316 7.0665 0.4660 0.0000 -2.0472 5.6276" Properties=species:S:1:pos:R:3 pbc="T T T"
Ce 1.7316 4.2798 3.0004
Ce 0.0000 0.7396 3.0932
Dy 0.0000 0.0000 0.0000
W 0.0000 2.5284 5.8372
W 1.7316 2.4910 0.2564
C 1.7316 2.2472 4.6485
C 0.0000 2.7722 1.4450
C 0.0000 5.8348 1.7748
C 1.7316 -0.8154 4.3188
```

Calculated formation energy: -0.03 eV/atom
Space-group type: C2/m, No. 12

A geometry-optimized PaCu2 structure. Source: Alexandria via LeMat-Bulk, functional PBE.

```
3
Lattice="-2.5869 1.5780 -0.5619 -0.9869 -0.6005 2.8572 4.1036 3.9244 0.5801" Properties=species:S:1:pos:R:3 pbc="T T T"
Pa 0.0000 0.0000 0.0000
Cu -0.9040 2.1707 1.8061
Cu 1.4337 2.7311 1.0692
```

Calculated formation energy: 0.04 eV/atom
Space-group type: I4/mmm, No. 139

A geometry-optimized Tb3MgCd4 structure. Source: Alexandria via LeMat-Bulk, functional PBE.

```
16
Lattice="-4.0456 -3.1787 -0.2736 4.6998 -5.9223 -0.6868 0.1483 -1.0708 10.2473" Properties=species:S:1:pos:R:3 pbc="T T T"
Mg 2.3499 -2.9612 -0.3434
Mg 2.4240 -3.4965 4.7802
Tb 0.0000 0.0000 0.0000
Tb 0.0741 -0.5354 5.1236
Tb -1.9130 -2.3935 7.5486
Tb -1.9844 -1.8560 2.4251
Tb 0.4367 -5.3549 7.2051
Tb 0.3658 -4.8170 2.0817
Cd 1.4436 -5.9575 -0.6434
Cd 1.5177 -6.4929 4.4802
Cd -0.7894 -3.1436 -0.3171
Cd -0.7153 -3.6790 4.8066
Cd 3.5757 -5.1725 7.1788
Cd -0.5404 -7.8130 1.7818
Cd -2.7732 -4.9993 2.1081
Cd 1.3429 -2.3589 7.5051
```

Calculated formation energy: -0.30 eV/atom
Space-group type: P4/mmm, No. 123

A geometry-optimized TcMo2Pb structure. Source: Alexandria via LeMat-Bulk, functional PBE.

```
4
Lattice="9.6157 0.0219 0.0129 9.1580 2.9316 0.0129 9.1580 1.4408 2.5532" Properties=species:S:1:pos:R:3 pbc="T T T"
Mo 0.2189 0.0344 0.0202
Mo 13.7469 2.1627 1.2693
Pb 6.9829 1.0986 0.6447
Tc 20.9487 3.2957 1.9342
```

Calculated formation energy: 0.59 eV/atom
Space-group type: R-3m, No. 166

A geometry-optimized Tm3Zn6Au5 structure. Source: Alexandria via LeMat-Bulk, functional PBE.

```
28
Lattice="-3.4825 -2.6552 -0.3252 3.2932 -5.1953 7.1541 -6.3714 7.3441 8.2661" Properties=species:S:1:pos:R:3 pbc="T T T"
Tm -3.6328 3.8353 7.5882
Tm -0.5524 -3.7452 6.8465
Tm -4.3724 0.6580 11.8025
Tm 0.8432 -1.3302 1.8318
Tm -2.4770 -1.5206 9.2928
Tm -1.0814 0.8944 4.2781
Zn -2.1816 1.1446 14.0175
Zn -5.8236 3.3487 5.3732
Zn -5.6714 2.6314 9.5997
Zn 0.1420 -4.2986 3.9286
Zn -1.7758 1.4477 7.1960
Zn -2.3338 1.8618 9.7911
Zn -0.1393 -0.6678 6.9439
Zn 1.3844 -6.2586 6.6276
Zn 2.2585 -3.9734 8.2571
Zn -1.4945 -2.1831 4.1807
Zn -3.0182 3.4078 4.4970
Zn -3.8923 1.1225 2.8675
Au -3.8240 3.6583 11.0812
Au -1.3145 0.3075 11.5666
Au 2.5922 -4.0894 5.6313
Au -4.1812 0.8350 8.3096
Au -4.2260 1.2386 5.4933
Au 0.9802 -1.8793 4.8484
Au -2.6139 -0.9715 6.2763
Au 0.6271 -1.9305 9.0476
Au -6.6907 4.1858 7.8242
Au -2.2609 -0.9204 2.0770
```

Calculated formation energy: -0.54 eV/atom
Space-group type: Pmmn, No. 59

A geometry-optimized Mn2ZnPd5 structure. Source: Alexandria via LeMat-Bulk, functional PBE.

```
16
Lattice="-3.9310 0.1907 -0.9141 0.1136 -5.2297 -1.5794 -2.4867 -3.0892 10.0496" Properties=species:S:1:pos:R:3 pbc="T T T"
Mn -2.8385 -2.6064 2.7336
Mn -3.4656 -5.5218 4.8224
Mn -4.0935 -3.6163 7.9199
Mn -2.2106 -4.5119 -0.3639
Zn -1.2434 -1.5446 5.0248
Zn 0.0568 -2.6148 -0.7897
Pd -2.2121 -1.8088 0.2061
Pd -4.0920 -6.3194 7.3499
Pd -2.8379 -5.2716 2.1751
Pd -3.4662 -2.8566 5.3809
Pd -1.7424 -7.2223 5.9865
Pd -0.6307 -1.0966 2.4836
Pd -1.8305 -4.6463 6.9028
Pd -0.5426 -3.6726 1.5673
Pd -1.1865 -4.1594 4.2351
Pd 0.0000 0.0000 0.0000
```

Calculated formation energy: -0.36 eV/atom
Space-group type: Pbam, No. 55

A geometry-optimized TlSb3O structure. Source: Alexandria via LeMat-Bulk, functional PBE.

```
5
Lattice="5.6818 0.0000 0.0000 0.0000 5.6818 0.0000 0.0000 0.0000 5.6818" Properties=species:S:1:pos:R:3 pbc="T T T"
Sb 0.0000 2.8409 0.0000
Sb 0.0000 0.0000 2.8409
Sb 2.8409 0.0000 0.0000
Tl 0.0000 0.0000 0.0000
O 2.8409 2.8409 2.8409
```

Relative energy among the computed polymorphs: 1441.2 meV per atom
Space-group type: Pm-3m, No. 221
Formation energy without anion corrections: 1.459 eV/atom

A geometry-optimized OsRh2Br structure. Source: Alexandria via LeMat-Bulk, functional PBE.

```
4
Lattice="-2.1185 0.1460 4.1285 1.4872 -3.9258 1.9825 2.6027 3.3233 -1.9326" Properties=species:S:1:pos:R:3 pbc="T T T"
Rh 0.0000 0.0000 0.0000
Rh 1.8871 -1.2461 1.5527
Os 0.0843 0.7897 2.6257
Br -0.3156 -1.8899 3.0555
```

Relative energy among the computed polymorphs: 506.7 meV per atom
Space-group type: I-4m2, No. 119
Formation energy without anion corrections: 0.977 eV/atom

A geometry-optimized MgNbTeN2 structure. Source: Alexandria via LeMat-Bulk, functional PBE.

```
5
Lattice="4.0614 0.0000 0.0000 0.0000 4.0614 0.0000 0.0000 0.0000 5.8769" Properties=species:S:1:pos:R:3 pbc="T T T"
Nb 0.0000 0.0000 0.0000
Te 0.0000 0.0000 2.9384
Mg 2.0307 2.0307 2.9384
N 0.0000 2.0307 0.0000
N 2.0307 0.0000 0.0000
```

Relative energy among the computed polymorphs: 0.0 meV per atom
Space-group type: P4/mmm, No. 123
Formation energy without anion corrections: 0.058 eV/atom

A geometry-optimized Ca2PdBr structure. Source: Alexandria via LeMat-Bulk, functional PBE.

```
4
Lattice="4.1326 0.0000 0.0000 2.0663 3.5790 0.0000 2.0663 1.1930 7.6151" Properties=species:S:1:pos:R:3 pbc="T T T"
Ca 6.1989 3.5790 6.0061
Ca 2.0663 1.1930 1.6090
Br 4.1326 2.3860 3.8075
Pd 0.0000 0.0000 0.0000
```

Relative energy among the computed polymorphs: 0.0 meV per atom
Space-group type: R-3m, No. 166
Formation energy without anion corrections: -1.056 eV/atom

A geometry-optimized K2RbBiO4 structure. Source: Alexandria via LeMat-Bulk, functional PBE.

```
16
Lattice="-5.9408 2.8625 -4.2143 -2.6984 -7.2574 1.1388 2.1759 3.7977 5.8615" Properties=species:S:1:pos:R:3 pbc="T T T"
K -2.9704 1.4313 -2.1071
K -1.8824 3.3301 0.8236
K 1.0880 1.8988 2.9307
K -4.3196 -2.1974 -1.5377
Rb -1.3492 -3.6287 0.5694
Rb -6.2020 1.1327 -0.7142
Bi -3.2316 -0.2986 1.3930
Bi -3.7649 6.6602 1.6472
O -3.3098 -5.5134 0.2359
O -3.7407 1.4548 0.4459
O -2.7225 -2.0519 2.3400
O -3.1535 4.9163 2.5500
O -4.3973 0.3482 3.3044
O -5.3018 -1.2306 0.8675
O -1.1615 0.6334 1.9185
O -2.0659 -0.9454 -0.5184
```

Space-group type: Imma, No. 74
Formation energy without anion corrections: -1.197 eV/atom

Record order is preserved below.
DFT total energy: -2.93; -2.50; -2.38; -6.62; -7.07; -5.79; -5.20; -4.07; -2.16; -8.84; -5.85; -2.70; -8.34; -3.21; -6.06; -2.48; -5.92; -6.23; -3.77; -4.56 eV per atom